Record 1
Density functional theory data (GGA-PBE) for crystalline ScTaN2O at its relaxed geometry.

POSCAR file:
```
ScTaN2O
1.0
3.853 0.000 0.000
0.000 3.853 0.000
0.000 0.000 4.552
Sc Ta N O
1 1 2 1
Direct
0.000 0.000 0.000
0.500 0.500 0.340
0.000 0.500 0.206
0.500 0.000 0.206
0.500 0.500 0.747
```

=====

Record 2
Density functional theory data (GGA-PBE) for crystalline ScTaN2O at its relaxed geometry.

POSCAR file:
```
ScTaN2O
1.0
5.587 0.000 0.000
0.018 7.717 0.000
0.036 0.030 15.818
Sc Ta N O
12 12 24 12
Direct
0.000 0.000 0.000
0.003 0.005 0.342
0.354 0.506 0.505
0.359 0.521 0.840
0.378 0.516 0.174
0.489 0.009 0.498
0.492 0.004 0.830
0.503 0.996 0.161
0.861 0.517 0.989
0.874 0.518 0.328
0.878 0.509 0.667
0.997 0.014 0.671
0.408 0.273 0.998
0.425 0.746 0.003
0.429 0.263 0.339
0.441 0.269 0.667
0.445 0.759 0.674
0.446 0.756 0.336
0.908 0.263 0.834
0.925 0.260 0.508
0.925 0.762 0.834
0.928 0.749 0.157
0.935 0.762 0.495
0.949 0.256 0.159
0.112 0.319 0.606
0.119 0.327 0.938
0.121 0.700 0.939
0.232 0.188 0.433
0.232 0.832 0.436
0.245 0.179 0.108
0.247 0.823 0.770
0.247 0.826 0.109
0.479 0.507 0.374
0.481 0.508 0.707
0.487 0.505 0.047
0.598 0.315 0.556
0.618 0.329 0.898
0.619 0.693 0.897
0.622 0.700 0.228
0.739 0.189 0.726
0.740 0.827 0.393
0.744 0.832 0.061
0.748 0.827 0.722
0.867 0.005 0.542
0.875 0.010 0.875
0.972 0.506 0.455
0.979 0.504 0.124
0.988 0.507 0.790
0.119 0.683 0.602
0.120 0.689 0.272
0.121 0.328 0.270
0.241 0.177 0.769
0.363 0.001 0.619
0.364 0.010 0.285
0.377 0.011 0.956
0.602 0.691 0.556
0.620 0.327 0.227
0.736 0.182 0.387
0.744 0.178 0.066
0.873 0.014 0.217
```

=====

Record 3
Density functional theory data (GGA-PBE) for crystalline ScTaN2O at its relaxed geometry.

POSCAR file:
```
ScTaN2O
1.0
7.643 0.000 0.000
0.000 7.697 0.000
-7.308 0.000 7.758
Sc Ta N O
8 8 16 8
Direct
0.059 0.220 0.024
0.059 0.280 0.524
0.440 0.740 0.467
0.440 0.760 0.967
0.560 0.240 0.033
0.560 0.260 0.533
0.941 0.720 0.476
0.941 0.780 0.976
0.019 0.003 0.265
0.019 0.497 0.765
0.471 0.512 0.222
0.471 0.988 0.722
0.529 0.012 0.278
0.529 0.488 0.778
0.981 0.503 0.235
0.981 0.997 0.735
0.056 0.747 0.217
0.056 0.753 0.717
0.174 0.587 0.998
0.174 0.913 0.498
0.316 0.067 0.319
0.316 0.433 0.819
0.441 0.242 0.661
0.441 0.258 0.161
0.559 0.742 0.839
0.559 0.758 0.339
0.684 0.567 0.181
0.684 0.933 0.681
0.826 0.087 0.502
0.826 0.413 0.002
0.944 0.247 0.283
0.944 0.253 0.783
0.176 0.543 0.499
0.176 0.957 0.999
0.333 0.051 0.833
0.333 0.449 0.333
0.667 0.551 0.667
0.667 0.949 0.167
0.824 0.043 0.001
0.824 0.457 0.501
```

=====

Record 4
Density functional theory data (GGA-PBE) for crystalline ScTaN2O at its relaxed geometry.

POSCAR file:
```
ScTaN2O
1.0
5.380 0.000 0.000
-2.652 4.796 0.000
-2.667 -1.584 9.031
Sc Ta N O
4 4 8 4
Direct
0.000 0.000 0.000
0.005 0.490 0.495
0.404 0.735 0.240
0.413 0.239 0.751
0.170 0.087 0.365
0.181 0.585 0.858
0.696 0.361 0.131
0.700 0.870 0.613
0.053 0.365 0.281
0.063 0.116 0.546
0.379 0.386 0.965
0.387 0.122 0.210
0.387 0.634 0.710
0.393 0.874 0.453
0.813 0.739 0.250
0.816 0.246 0.746
0.037 0.628 0.034
0.048 0.875 0.798
0.620 0.014 0.995
0.639 0.510 0.510
```

=====

Record 5
Density functional theory data (GGA-PBE) for crystalline ScTaN2O at its relaxed geometry.

POSCAR file:
```
ScTaN2O
1.0
3.513 0.000 0.000
0.000 6.090 0.000
0.000 0.000 5.637
Sc Ta N O
2 2 4 2
Direct
0.000 0.169 0.000
0.000 0.831 0.500
0.500 0.309 0.540
0.500 0.691 0.040
0.000 0.175 0.612
0.000 0.825 0.112
0.500 0.404 0.894
0.500 0.596 0.394
0.500 0.132 0.240
0.500 0.868 0.740
```

=====

Record 6
TbScNO (GGA-PBE, optimized geometry); excess energy over the best structure of this formula in the dataset = 0.049 eV/atom
1.0
7.785 0.000 0.000
0.000 6.368 0.000
0.000 0.000 4.730
Tb Sc N O
4 4 4 4
Direct
0.130 0.063 0.250
0.130 0.437 0.750
0.870 0.563 0.250
0.870 0.937 0.750
0.383 0.588 0.250
0.383 0.912 0.750
0.617 0.088 0.250
0.617 0.412 0.750
0.389 0.583 0.750
0.389 0.917 0.250
0.611 0.083 0.750
0.611 0.417 0.250
0.149 0.085 0.750
0.149 0.415 0.250
0.851 0.585 0.750
0.851 0.915 0.250

=====

Record 7
TbScNO (GGA-PBE, optimized geometry); excess energy over the best structure of this formula in the dataset = 0.085 eV/atom
1.0
6.367 0.000 0.000
0.000 7.866 0.000
0.000 0.000 4.795
Tb Sc N O
4 4 4 4
Direct
0.073 0.134 0.000
0.427 0.134 0.500
0.573 0.866 0.000
0.927 0.866 0.500
0.075 0.617 0.001
0.425 0.617 0.501
0.575 0.383 0.001
0.925 0.383 0.501
0.060 0.141 0.500
0.440 0.141 0.000
0.560 0.859 0.500
0.940 0.859 0.000
0.099 0.611 0.502
0.401 0.611 0.002
0.599 0.389 0.502
0.901 0.389 0.002

=====

Record 8
TbScNO (GGA-PBE, optimized geometry); excess energy over the best structure of this formula in the dataset = 0.350 eV/atom
1.0
3.937 0.000 0.000
0.000 3.937 0.000
0.000 0.000 8.028
Tb Sc N O
2 2 2 2
Direct
0.250 0.250 0.132
0.750 0.750 0.868
0.250 0.750 0.500
0.750 0.250 0.500
0.250 0.250 0.625
0.750 0.750 0.375
0.250 0.750 0.000
0.750 0.250 0.000

=====

Record 9
TbScNO (GGA-PBE, optimized geometry); excess energy over the best structure of this formula in the dataset = 0.056 eV/atom
1.0
4.792 0.000 0.000
0.000 3.976 0.000
0.000 0.000 6.294
Tb Sc N O
2 2 2 2
Direct
0.250 0.000 0.176
0.750 0.000 0.824
0.250 0.500 0.684
0.750 0.500 0.316
0.250 0.000 0.798
0.750 0.000 0.202
0.250 0.500 0.352
0.750 0.500 0.648

=====

Record 10
TbScNO (GGA-PBE, optimized geometry); excess energy over the best structure of this formula in the dataset = 0.031 eV/atom
1.0
4.676 0.000 0.000
0.000 3.845 0.000
0.000 0.000 6.653
Tb Sc N O
2 2 2 2
Direct
0.250 0.000 0.168
0.750 0.000 0.832
0.250 0.500 0.661
0.750 0.500 0.339
0.250 0.500 0.350
0.750 0.500 0.650
0.250 0.000 0.806
0.750 0.000 0.194

=====

Record 11
TbScNO (GGA-PBE, optimized geometry); excess energy over the best structure of this formula in the dataset = 0.000 eV/atom
1.0
4.755 0.000 0.000
0.000 4.755 0.000
0.000 0.000 4.615
Tb Sc N O
2 2 2 2
Direct
0.250 0.750 0.000
0.750 0.250 0.000
0.250 0.250 0.499
0.750 0.750 0.501
0.250 0.250 0.999
0.750 0.750 0.001
0.250 0.750 0.500
0.750 0.250 0.500

=====

Record 12
ScTcNO (GGA-PBE, optimized geometry); excess energy over the best structure of this formula in the dataset = 0.504 eV/atom
1.0
3.277 0.000 0.000
0.000 5.844 0.000
0.000 0.000 5.548
Sc Tc N O
2 2 2 2
Direct
0.000 0.163 0.000
0.000 0.837 0.500
0.500 0.257 0.539
0.500 0.743 0.039
0.000 0.213 0.380
0.000 0.787 0.880
0.500 0.356 0.886
0.500 0.644 0.386

=====

Electronic total energy, respectively: -0.71214, -0.72276, -0.72278, -0.71954, -0.71842, -0.61091, -0.60829, -0.58883, -0.61041, -0.61226, -0.61452, -0.63503 Ry per atom.